This record from Alexandria via LeMat-Bulk describes a relaxed structure of Gd2PuPt. The functional is GGA-PBE.

space group: Fm-3m
M_tot: 1.97 μB per atom
energy above the lowest structure with this stoichiometry: 250 meV/atom

Unit cell a=5.111 b=5.111 c=5.111 alpha=60.00 beta=60.00 gamma=60.00
Fractional coordinates of all 4 atoms:
Gd 0.250 0.250 0.250
Gd 0.750 0.750 0.750
Pu 0.000 0.000 0.000
Pt 0.500 0.500 0.500

This record from Alexandria via LeMat-Bulk describes a relaxed structure of Ce2Zn7Pt. The functional is GGA-PBE.

space group: P-4m2
M_tot: 0.19 μB per atom

Unit cell a=4.321 b=4.321 c=10.168 alpha=90.00 beta=90.00 gamma=90.00
Fractional coordinates of all 10 atoms:
Ce 0.000 0.500 0.244
Ce 0.500 0.000 0.756
Zn 0.000 0.000 0.000
Zn 0.000 0.000 0.500
Zn 0.000 0.500 0.629
Zn 0.000 0.500 0.867
Zn 0.500 0.000 0.133
Zn 0.500 0.000 0.371
Zn 0.500 0.500 0.500
Pt 0.500 0.500 0.000

Computed energy relative to the elements (eV/atom) in order:
-0.25; -0.35
Computed Fermi-level density of states (states/eV per atom) in order:
2.500; 1.469